Entry 1:
Computed, not measured: an optimized crystal structure of Er4InRh5 at the GGA-PBE level of DFT.

The structure belongs to space group P4/mmm (No. 123); the cell edges are 3.400, 3.400 and 16.427 Å and the angles 90.00°, 90.00° and 90.00°. The inequivalent atoms are Er at (0.000, 0.000, 0.102), Er at (0.000, 0.000, 0.307), In at (0.000, 0.000, 0.500), Rh at (0.500, 0.500, 0.000), Rh at (0.500, 0.500, 0.204) and Rh at (0.500, 0.500, 0.407).

As for the magnetization: 0.0000 μB/atom. The volume is 190 Å³ per cell. Its density of states at the Fermi level is 4.6 states/eV/f.u.


Entry 2:
Computed, not measured: an optimized crystal structure of Er12In6Rh at the GGA-PBE level of DFT.

The structure belongs to space group R-3 (No. 148, hexagonal axes); the cell edges are 11.9915, 11.9915 and 13.2652 Å and the angles 90.00°, 90.00° and 120.00°. The inequivalent atoms are Er at (0.0321, 0.8455, 0.3693), Er at (0.0364, 0.1888, 0.8942), In at (0.0043, 0.3965, 0.7639) and Rh at (0.0000, 0.0000, 0.5000).

As for the magnetization: 0.0000 μB/atom. The volume is 1652 Å³ per cell. Its density of states at the Fermi level is 19.0 states/eV/f.u.


Entry 3:
Computed, not measured: an optimized crystal structure of Er21In4Rh10 at the GGA-PBE level of DFT.

The structure belongs to space group I4/mcm (No. 140); the cell edges are 11.576, 11.576 and 24.844 Å and the angles 90.00°, 90.00° and 90.00°. The inequivalent atoms are Er at (0.000, 0.500, 0.101), Er at (0.000, 0.500, 0.250), Er at (0.076, 0.200, 0.070), Er at (0.077, 0.203, 0.309), Er at (0.150, 0.350, 0.500), In at (0.157, 0.343, 0.185), Rh at (0.000, 0.000, 0.000), Rh at (0.000, 0.000, 0.131), Rh at (0.000, 0.000, 0.250), Rh at (0.099, 0.401, 0.000) and Rh at (0.186, 0.314, 0.393).

As for the magnetization: 0.0000 μB/atom. The volume is 3329 Å³ per cell. Its density of states at the Fermi level is 24.4 states/eV/f.u.


Entry 4:
Computed, not measured: an optimized crystal structure of Er3InRh at the GGA-PBE level of DFT.

The structure belongs to space group C2/m (No. 12); the cell edges are 11.793, 5.412 and 9.006 Å and the angles 90.00°, 112.72° and 90.00°. The inequivalent atoms are Er at (0.109, 0.000, 0.400), Er at (0.111, 0.500, 0.728), Er at (0.158, 0.500, 0.158), In at (0.111, 0.000, 0.957) and Rh at (0.141, 0.500, 0.447).

As for the magnetization: 0.0000 μB/atom. The volume is 530 Å³ per cell. For the relative energy among the computed polymorphs, the calculation gives 0.0000 eV per atom. Its density of states at the Fermi level is 3.8 states/eV/f.u.


Entry 5:
Computed, not measured: an optimized crystal structure of ErIn2Rh at the GGA-PBE level of DFT.

The structure belongs to space group P4/mmm (No. 123); the cell edges are 4.222, 4.222 and 4.759 Å and the angles 90.00°, 90.00° and 90.00°. The inequivalent atoms are Er at (0.000, 0.000, 0.000), In at (0.000, 0.500, 0.500) and Rh at (0.500, 0.500, 0.000).

As for the magnetization: 0.0000 μB/atom. The volume is 85 Å³ per cell. Its density of states at the Fermi level is 1.9 states/eV/f.u.


Entry 6:
Computed, not measured: an optimized crystal structure of Er3InRh4 at the GGA-PBE level of DFT.

The structure belongs to space group P4/mmm (No. 123); the cell edges are 4.699, 4.699 and 6.801 Å and the angles 90.00°, 90.00° and 90.00°. The inequivalent atoms are Er at (0.000, 0.000, 0.000), Er at (0.000, 0.000, 0.500), Er at (0.500, 0.500, 0.000), In at (0.500, 0.500, 0.500) and Rh at (0.000, 0.500, 0.250).

As for the magnetization: 0.0000 μB/atom. The volume is 150 Å³ per cell. Its density of states at the Fermi level is 3.8 states/eV/f.u.


Entry 7:
Computed, not measured: an optimized crystal structure of Er6InRh5 at the GGA-PBE level of DFT.

The structure belongs to space group Immm (No. 71); the cell edges are 4.815, 7.090 and 14.474 Å and the angles 90.00°, 90.00° and 90.00°. The inequivalent atoms are Er at (0.000, 0.232, 0.000), Er at (0.000, 0.259, 0.328), In at (0.000, 0.000, 0.500), Rh at (0.000, 0.000, 0.168), Rh at (0.000, 0.500, 0.163) and Rh at (0.000, 0.500, 0.500).

As for the magnetization: 0.0000 μB/atom. The volume is 494 Å³ per cell. Its density of states at the Fermi level is 8.4 states/eV/f.u.


Entry 8:
Computed, not measured: an optimized crystal structure of Er4In2Rh at the GGA-PBE level of DFT.

The structure belongs to space group P2/m (No. 10); the cell edges are 6.418, 3.646 and 9.009 Å and the angles 90.00°, 110.68° and 90.00°. The inequivalent atoms are Er at (0.123, 0.000, 0.251), Er at (0.325, 0.500, 0.648), In at (0.267, 0.500, 0.999) and Rh at (0.500, 0.000, 0.500).

As for the magnetization: 0.0000 μB/atom. The volume is 197 Å³ per cell. Its density of states at the Fermi level is 4.4 states/eV/f.u.


Entry 9:
Computed, not measured: an optimized crystal structure of ErInRh at the GGA-PBE level of DFT.

The structure belongs to space group P3m1 (No. 156); the cell edges are 4.6851, 4.6851 and 3.3482 Å and the angles 90.00°, 90.00° and 120.00°. The inequivalent atoms are Er at (0.0000, 0.0000, 0.0000), In at (0.6667, 0.3333, 0.5007) and Rh at (0.3333, 0.6667, 0.4985).

As for the magnetization: 0.0000 μB/atom. The volume is 64 Å³ per cell. Its density of states at the Fermi level is 1.9 states/eV/f.u.


Entry 10:
Computed, not measured: an optimized crystal structure of ErIn4Rh2 at the GGA-PBE level of DFT.

The structure belongs to space group R-3m (No. 166, hexagonal axes); the cell edges are 4.5695, 4.5695 and 27.4826 Å and the angles 90.00°, 90.00° and 120.00°. The inequivalent atoms are Er at (0.0000, 0.0000, 0.0000), In at (0.0000, 0.0000, 0.2019), In at (0.0000, 0.0000, 0.4021) and Rh at (0.0000, 0.0000, 0.1009).

As for the magnetization: 0.0000 μB/atom. The volume is 497 Å³ per cell. Its density of states at the Fermi level is 5.3 states/eV/f.u.


Entry 11:
Computed, not measured: an optimized crystal structure of ErInRh at the GGA-PBE level of DFT.

The structure belongs to space group I4mm (No. 107); the cell edges are 3.406, 3.406 and 10.800 Å and the angles 90.00°, 90.00° and 90.00°. The inequivalent atoms are Er at (0.000, 0.000, 0.000), In at (0.000, 0.000, 0.708) and Rh at (0.000, 0.000, 0.349).

As for the magnetization: 0.0000 μB/atom. The volume is 125 Å³ per cell. Its density of states at the Fermi level is 2.1 states/eV/f.u.


Entry 12:
Computed, not measured: an optimized crystal structure of Er2InRh at the GGA-PBE level of DFT.

The structure belongs to space group R-3m (No. 166, hexagonal axes); the cell edges are 3.7276, 3.7276 and 25.4194 Å and the angles 90.00°, 90.00° and 120.00°. The inequivalent atoms are Er at (0.0000, 0.0000, 0.2337), In at (0.0000, 0.0000, 0.0000) and Rh at (0.0000, 0.0000, 0.5000).

As for the magnetization: 0.0000 μB/atom. The volume is 306 Å³ per cell. For the relative energy among the computed polymorphs, the calculation gives 0.1631 eV per atom. Its density of states at the Fermi level is 2.1 states/eV/f.u.


Let's list energy of formation from the pure elements in order: -0.842; -0.239; -0.725; -0.514; -0.417; -0.851; -0.808; -0.397; -0.560; -0.323; -0.608; -0.545 eV/atom.